{"formula": "Pr2S3", "functional": "GGA-PBE", "state": "optimized geometry", "final_energy_ev_per_cell": -128.96, "vol_a3_per_cell": 488.9, "e_form_raw_mev_per_atom": -2060, "cell": [[7.5632, 0.0000, 0.0000], [0.0000, 4.0957, 0.0000], [0.0000, 0.0000, 15.7843]], "species": ["Pr", "Pr", "Pr", "Pr", "Pr", "Pr", "Pr", "Pr", "S", "S", "S", "S", "S", "S", "S", "S", "S", "S", "S", "S"], "frac_coords": [[0.1450, 0.2500, 0.2044], [0.2355, 0.7500, 0.4559], [0.2645, 0.2500, 0.9559], [0.3550, 0.7500, 0.7044], [0.6450, 0.2500, 0.2956], [0.7355, 0.7500, 0.0441], [0.7645, 0.2500, 0.5441], [0.8550, 0.7500, 0.7956], [0.0098, 0.2500, 0.3907], [0.1263, 0.7500, 0.0675], [0.1453, 0.2500, 0.7810], [0.3547, 0.7500, 0.2810], [0.3737, 0.2500, 0.5675], [0.4902, 0.7500, 0.8907], [0.5098, 0.2500, 0.1093], [0.6263, 0.7500, 0.4325], [0.6453, 0.2500, 0.7190], [0.8547, 0.7500, 0.2190], [0.8737, 0.2500, 0.9325], [0.9902, 0.7500, 0.6093]]}